(1)
Below is NaZnCrF6 after structural relaxation, with properties calculated at the GGA+U level.

Summary:
Density of states at the Fermi level: 0.0 states/eV/cell
Electronic total energy: -90.2 eV per cell

abc: 5.331 5.331 9.803
angles: 90.00 90.00 120.00
Positions (direct):
1 Na 0.000 0.000 0.000
2 Na 0.000 0.000 0.500
3 Zn 0.333 0.667 0.250
4 Zn 0.667 0.333 0.750
5 Cr 0.333 0.667 0.750
6 Cr 0.667 0.333 0.250
7 F 0.017 0.369 0.641
8 F 0.017 0.647 0.859
9 F 0.353 0.369 0.859
10 F 0.353 0.983 0.641
11 F 0.369 0.017 0.141
12 F 0.369 0.353 0.359
13 F 0.631 0.647 0.641
14 F 0.631 0.983 0.859
15 F 0.647 0.017 0.359
16 F 0.647 0.631 0.141
17 F 0.983 0.353 0.141
18 F 0.983 0.631 0.359

(2)
Below is Na2ZnCrF8 after structural relaxation, with properties calculated at the GGA+U level.

Summary:
Electronic total energy: -56.5 eV per cell

abc: 4.986 6.626 4.988
angles: 90.00 93.54 90.00
Positions (direct):
1 Na 0.000 0.245 0.000
2 Na 0.000 0.755 0.000
3 Zn 0.500 0.000 0.500
4 Cr 0.500 0.500 0.500
5 F 0.226 0.000 0.228
6 F 0.230 0.500 0.233
7 F 0.325 0.292 0.677
8 F 0.325 0.708 0.677
9 F 0.675 0.292 0.323
10 F 0.675 0.708 0.323
11 F 0.770 0.500 0.767
12 F 0.774 0.000 0.772

What did the second record say?
Below is Na2ZnCrF8 after structural relaxation, with properties calculated at the GGA+U level.

Summary:
Electronic total energy: -56.5 eV per cell

abc: 4.986 6.626 4.988
angles: 90.00 93.54 90.00
Positions (direct):
1 Na 0.000 0.245 0.000
2 Na 0.000 0.755 0.000
3 Zn 0.500 0.000 0.500
4 Cr 0.500 0.500 0.500
5 F 0.226 0.000 0.228
6 F 0.230 0.500 0.233
7 F 0.325 0.292 0.677
8 F 0.325 0.708 0.677
9 F 0.675 0.292 0.323
10 F 0.675 0.708 0.323
11 F 0.770 0.500 0.767
12 F 0.774 0.000 0.772

electronic total energy of number 1 (NaZnCrF6)? -90.2 eV per cell

Which of these has the lowest electronic total energy? NaZnCrF6